Record 1
GeTe2IN | GGA-PBEsol | relaxed Values from VASP.

For the total magnetization, the calculation gives 2.58 μB per cell. For the uncorrected formation energy, the calculation gives 1.3838 eV per atom.

Quantum ESPRESSO input file:
```
&SYSTEM
  ibrav = 0, nat = 5, ntyp = 4
/
ATOMIC_SPECIES
I 126.90 I.upf
Ge 72.64 Ge.upf
Te 127.60 Te.upf
N 14.01 N.upf
ATOMIC_POSITIONS angstrom
I 2.662 0.304 0.976
Ge 0.000 0.000 0.000
Te 0.136 -2.641 0.450
Te -0.952 0.373 2.480
N 1.846 -1.964 3.906
CELL_PARAMETERS angstrom
-1.904 0.747 4.960
0.272 -5.282 0.900
5.323 0.607 1.952
```

=====

Record 2
SbHI2N | GGA-PBEsol | relaxed Values from VASP.

The electronic total energy comes out at -0.109 hartree per atom. For the total magnetization, the calculation gives 0.94 μB per cell.

Quantum ESPRESSO input file:
```
&SYSTEM
  ibrav = 0, nat = 5, ntyp = 4
/
ATOMIC_SPECIES
I 126.90 I.upf
Sb 121.76 Sb.upf
H 1.01 H.upf
N 14.01 N.upf
ATOMIC_POSITIONS angstrom
I 0.000 0.000 3.006
I 0.000 3.006 0.000
Sb 0.000 0.000 0.000
H 1.945 3.006 3.006
N 1.945 0.000 0.000
CELL_PARAMETERS angstrom
3.890 0.000 0.000
0.000 6.011 0.000
0.000 0.000 6.011
```

=====

Record 3
AlIr3 | GGA-PBEsol | relaxed Values from VASP.

The electronic total energy comes out at -0.306 hartree per atom. For the total magnetization, the calculation gives 0.00 μB per cell.

Quantum ESPRESSO input file:
```
&SYSTEM
  ibrav = 0, nat = 4, ntyp = 2
/
ATOMIC_SPECIES
Ir 192.22 Ir.upf
Al 26.98 Al.upf
ATOMIC_POSITIONS angstrom
Ir 1.463 -0.979 1.941
Ir -0.092 -1.758 -1.941
Ir 2.433 -0.376 -0.899
Al 0.000 0.000 0.000
CELL_PARAMETERS angstrom
-1.061 -2.360 0.899
0.877 -1.156 -4.781
3.988 0.403 2.983
```

=====

Record 4
Y2ReNi | GGA-PBEsol | relaxed Values from VASP.

The electronic total energy comes out at -0.301 hartree per atom. For the total magnetization, the calculation gives 0.00 μB per cell.

Quantum ESPRESSO input file:
```
&SYSTEM
  ibrav = 0, nat = 4, ntyp = 3
/
ATOMIC_SPECIES
Ni 58.69 Ni.upf
Re 186.21 Re.upf
Y 88.91 Y.upf
ATOMIC_POSITIONS angstrom
Ni 2.866 0.111 3.808
Re 1.785 1.714 2.360
Y 0.114 0.004 0.151
Y -0.412 0.065 3.302
CELL_PARAMETERS angstrom
-0.036 3.289 -0.069
-3.699 0.018 2.784
4.978 -1.533 2.774
```

=====

Repeat the first record exactly.
GeTe2IN | GGA-PBEsol | relaxed Values from VASP.

For the total magnetization, the calculation gives 2.58 μB per cell. For the uncorrected formation energy, the calculation gives 1.3838 eV per atom.

Quantum ESPRESSO input file:
```
&SYSTEM
  ibrav = 0, nat = 5, ntyp = 4
/
ATOMIC_SPECIES
I 126.90 I.upf
Ge 72.64 Ge.upf
Te 127.60 Te.upf
N 14.01 N.upf
ATOMIC_POSITIONS angstrom
I 2.662 0.304 0.976
Ge 0.000 0.000 0.000
Te 0.136 -2.641 0.450
Te -0.952 0.373 2.480
N 1.846 -1.964 3.906
CELL_PARAMETERS angstrom
-1.904 0.747 4.960
0.272 -5.282 0.900
5.323 0.607 1.952
```